Computed, not measured: crystalline SrZr2TiRe at its relaxed geometry at the PBE level of DFT.

```
SrZr2TiRe
1.0
5.0206 0.0000 0.0000
0.0000 5.0206 0.0000
0.0000 0.0000 4.4360
Sr Zr Ti Re
1 2 1 1
direct
0.0000 0.0000 0.0000 Sr
0.0000 0.5000 0.0000 Zr
0.5000 0.0000 0.0000 Zr
0.0000 0.0000 0.5000 Ti
0.5000 0.5000 0.5000 Re
```

Computed properties:
Space group: No. 123

---

Computed, not measured: crystalline SrTl3Re at its relaxed geometry at the PBE level of DFT.

```
SrTl3Re
1.0
5.3611 0.0000 0.0000
0.0000 5.3611 0.0000
0.0000 0.0000 5.3611
Sr Tl Re
1 3 1
direct
0.0000 0.0000 0.0000 Sr
0.0000 0.5000 0.5000 Tl
0.5000 0.0000 0.5000 Tl
0.5000 0.5000 0.0000 Tl
0.5000 0.5000 0.5000 Re
```

Computed properties:
Space group: No. 221
E above lowest polymorph (meV per atom): 0.0

---

Computed, not measured: crystalline SrTlRe3 at its relaxed geometry at the PBE level of DFT.

```
SrTlRe3
1.0
5.0769 0.0000 0.0000
0.0000 5.0769 0.0000
0.0000 0.0000 5.0769
Sr Tl Re
1 1 3
direct
0.0000 0.0000 0.0000 Sr
0.5000 0.5000 0.5000 Tl
0.0000 0.5000 0.5000 Re
0.5000 0.0000 0.5000 Re
0.5000 0.5000 0.0000 Re
```

Computed properties:
Space group: No. 221
E above lowest polymorph (meV per atom): 0.0

---

Computed, not measured: crystalline Sr3TlRe at its relaxed geometry at the PBE level of DFT.

```
Sr3TlRe
1.0
5.8112 0.0000 0.0000
0.0000 5.8112 0.0000
0.0000 0.0000 5.8112
Sr Tl Re
3 1 1
direct
0.0000 0.0000 0.5000 Sr
0.0000 0.5000 0.0000 Sr
0.5000 0.0000 0.0000 Sr
0.5000 0.5000 0.5000 Tl
0.0000 0.0000 0.0000 Re
```

Computed properties:
Space group: No. 221
E above lowest polymorph (meV per atom): 0.0

---

Number 1: DOS(E_F) 9.62 states/eV/cell, total energy -27.462 eV for the cell shown. Number 2: DOS(E_F) 1.70 states/eV/cell, total energy -19.683 eV for the cell shown. Number 3: DOS(E_F) 7.89 states/eV/cell, total energy -27.844 eV for the cell shown. Number 4: DOS(E_F) 2.22 states/eV/cell, total energy -16.597 eV for the cell shown.